The following is a DFT calculation (PBE) of crystalline BaBe2IrW at its relaxed geometry.

Summary:
E_form	567	meV per atom
M_tot	1.63	μB/cell

Cell: 4.5851 4.5851 4.9150 Å, 90.00 90.00 90.00°
With the nearest neighbours (Å) after each atom.
Space group P4/mmm (No. 123)
Unique sites:
Ba (0.0000, 0.0000, 0.0000) x1  4 W 3.24, 8 Be 3.36
Be (0.0000, 0.5000, 0.5000) x2  2 Ir 2.29
Ir (0.5000, 0.5000, 0.5000) x1  4 Be 2.29, 2 W 2.46
W (0.5000, 0.5000, 0.0000) x1  2 Ir 2.46